1.
PmAl4AgPd2: relaxed, PBE-GGA.

abc: 9.3965 9.3965 9.3965
angles: 26.57 26.57 26.57
With the nearest neighbours (Å) after each atom.
Fractional coordinates of all 8 atoms:
Pm 0.0000 0.0000 0.0000  8 Al 3.11-3.43
Al 0.1263 0.1263 0.1263  3 Pd 2.63, 3 Ag 2.72
Al 0.4019 0.4019 0.4019  3 Pd 2.60, 1 Ag 2.67
Al 0.5981 0.5981 0.5981  3 Pd 2.60, 1 Ag 2.67
Al 0.8737 0.8737 0.8737  3 Pd 2.63, 3 Ag 2.72
Ag 0.5000 0.5000 0.5000  8 Al 2.67-2.72
Pd 0.2378 0.2378 0.2378  6 Al 2.60-2.63
Pd 0.7622 0.7622 0.7622  6 Al 2.60-2.63

Summary:
- density (g cm⁻³) = 6.51
- calculated formation energy (eV/atom) = -0.565
- energy (eV for the cell shown) = -37.48


2.
Pm2Al3AgPd4: relaxed, PBE-GGA.

abc: 4.3049 4.3049 10.6189
angles: 90.00 90.00 90.00
With the nearest neighbours (Å) after each atom.
Fractional coordinates of all 10 atoms:
Pm 0.0000 0.5000 0.2480  8 Pd 3.23-3.40, 6 Al 3.33-3.43, 2 Ag 3.43
Pm 0.5000 0.0000 0.7520  8 Pd 3.23-3.40, 6 Al 3.33-3.43, 2 Ag 3.43
Al 0.0000 0.5000 0.8801  5 Pd 2.44-2.50
Al 0.5000 0.0000 0.1199  5 Pd 2.44-2.50
Al 0.5000 0.5000 0.5000  4 Pd 2.68
Ag 0.0000 0.0000 0.5000  4 Pd 2.68
Pd 0.0000 0.0000 0.0000  4 Al 2.50
Pd 0.0000 0.5000 0.6500  3 Al 2.44-2.68, 2 Ag 2.68
Pd 0.5000 0.0000 0.3500  3 Al 2.44-2.68, 2 Ag 2.68
Pd 0.5000 0.5000 0.0000  4 Al 2.50

Summary:
- density (g cm⁻³) = 7.63
- calculated formation energy (eV/atom) = -0.737
- energy (eV for the cell shown) = -51.72


3.
PmAlAgPd: relaxed, PBE-GGA.

abc: 4.8539 4.8539 4.8539
angles: 60.00 60.00 60.00
With the nearest neighbours (Å) after each atom.
Fractional coordinates of all 4 atoms:
Pm 0.0000 0.0000 0.0000  4 Pd 2.97, 4 Ag 2.97
Al 0.5000 0.5000 0.5000  4 Ag 2.97, 4 Pd 2.97
Ag 0.7500 0.7500 0.7500  4 Al 2.97, 4 Pm 2.97
Pd 0.2500 0.2500 0.2500  4 Al 2.97, 4 Pm 2.97

Summary:
- density (g cm⁻³) = 7.93
- calculated formation energy (eV/atom) = -0.480
- energy (eV for the cell shown) = -18.46


4.
PmAl3AgPd: relaxed, PBE-GGA.

abc: 7.2306 7.2306 5.9790
angles: 90.00 90.00 130.85
With the nearest neighbours (Å) after each atom.
Fractional coordinates of all 12 atoms:
Pm 0.2043 0.7957 0.7500  1 Pd 2.76, 2 Ag 3.05
Pm 0.7957 0.2043 0.2500  1 Pd 2.76, 2 Ag 3.05
Al 0.2166 0.2166 0.0000  2 Pd 2.53, 1 Al 2.61
Al 0.2166 0.2166 0.5000  2 Pd 2.53, 1 Al 2.61
Al 0.3694 0.6306 0.2500  1 Ag 2.78, 3 Pd 2.84-3.05, 4 Al 2.84
Al 0.6306 0.3694 0.7500  1 Ag 2.78, 3 Pd 2.84-3.05, 4 Al 2.84
Al 0.7834 0.7834 0.0000  2 Pd 2.53, 1 Al 2.61
Al 0.7834 0.7834 0.5000  2 Pd 2.53, 1 Al 2.61
Ag 0.1579 0.8421 0.2500  5 Al 2.78-2.87, 2 Pm 3.05
Ag 0.8421 0.1579 0.7500  5 Al 2.78-2.87, 2 Pm 3.05
Pd 0.4145 0.5855 0.7500  4 Al 2.53, 1 Pm 2.76
Pd 0.5855 0.4145 0.2500  4 Al 2.53, 1 Pm 2.76

Summary:
- density (g cm⁻³) = 6.18
- calculated formation energy (eV/atom) = -0.411
- energy (eV for the cell shown) = -52.98


5.
PmAl4Ag2Pd: relaxed, PBE-GGA.

abc: 9.2516 9.2516 9.2516
angles: 27.53 27.53 27.53
With the nearest neighbours (Å) after each atom.
Fractional coordinates of all 8 atoms:
Pm 0.0000 0.0000 0.0000  6 Al 3.14, 6 Ag 3.51
Al 0.1322 0.1322 0.1322  3 Pd 2.70, 4 Ag 2.77-2.95
Al 0.4026 0.4026 0.4026  1 Pd 2.60, 3 Ag 2.60
Al 0.5974 0.5974 0.5974  1 Pd 2.60, 3 Ag 2.60
Al 0.8678 0.8678 0.8678  3 Pd 2.70, 4 Ag 2.77-2.95
Ag 0.2428 0.2428 0.2428  6 Al 2.60-2.77
Ag 0.7572 0.7572 0.7572  6 Al 2.60-2.77
Pd 0.5000 0.5000 0.5000  8 Al 2.60-2.70

Summary:
- density (g cm⁻³) = 6.40
- calculated formation energy (eV/atom) = -0.395
- energy (eV for the cell shown) = -33.78


6.
PrAl4AgPd2: relaxed, PBE-GGA.

abc: 9.5034 9.5034 9.5034
angles: 26.31 26.31 26.31
With the nearest neighbours (Å) after each atom.
Fractional coordinates of all 8 atoms:
Pr 0.0000 0.0000 0.0000  8 Al 3.15-3.49
Al 0.1267 0.1267 0.1267  3 Pd 2.63, 3 Ag 2.73
Al 0.4032 0.4032 0.4032  3 Pd 2.61, 1 Ag 2.66
Al 0.5968 0.5968 0.5968  3 Pd 2.61, 1 Ag 2.66
Al 0.8733 0.8733 0.8733  3 Pd 2.63, 3 Ag 2.73
Ag 0.5000 0.5000 0.5000  8 Al 2.66-2.73
Pd 0.2362 0.2362 0.2362  6 Al 2.61-2.63
Pd 0.7638 0.7638 0.7638  6 Al 2.61-2.63

Summary:
- density (g cm⁻³) = 6.36
- calculated formation energy (eV/atom) = -0.566
- energy (eV for the cell shown) = -37.51